# ZrSnSe2

A relaxed ZrSnSe2 crystal (PBE, Alexandria).

Results
space group	R3m (160)
total magnetization	0.0	μB/f.u.
raw formation energy	-0.85	eV/atom

```
ZrSnSe2
1.0
-3.487 0.857 0.744
-2.115 -2.361 1.845
0.583 3.068 8.241
Zr Sn Se
1 1 2
direct
0.666 0.666 0.002
0.502 0.502 0.493
0.266 0.266 0.202
0.066 0.066 0.803
```